{"formula": "ScCr2Br", "functional": "GGA-PBE", "state": "optimized geometry", "cell": [[3.225, 0.000, 0.000], [0.000, 4.362, 0.000], [0.000, 0.000, 5.370]], "species": ["Sc", "Cr", "Cr", "Br"], "fractional_positions": [[0.000, 0.000, 0.000], [0.000, 0.500, 0.500], [0.500, 0.000, 0.500], [0.500, 0.500, 0.000]], "n_ef_per_ev_atom": 0.849, "magmom_total_mub_per_cell": 0.75, "raw_formation_energy_ev_per_fu": 1.24, "sg": "No. 47"}